Computed, not measured: an optimized crystal structure of ScCu3S at the PBE level of DFT.

## Properties
Energy above the lowest structure with this stoichiometry, eV per atom: 0.000
Magnetic moment, Bohr magnetons per cell: 0.00
ρ, kg/m3: 5228
Total energy, eV per atom: -4.2979

Cell and atoms, written as extended XYZ:
```
5
Lattice="-2.573 -2.280 -2.741 3.064 0.316 -3.138 1.825 -3.746 1.404" Properties=species:S:1:pos:R:3 pbc="T T T"
Sc 1.158 -2.855 -2.238
S 0.000 0.000 0.000
Cu 1.532 0.158 -1.569
Cu 0.912 -1.873 0.702
Cu -1.286 -1.140 -1.371
```